Record 1
A plane-wave DFT calculation with PBE was carried out for Pr2SiPt6 after structural relaxation.

a = 5.7544 Å, b = 5.7544 Å, c = 5.9088 Å
α = 90.00°, β = 90.00°, γ = 120.00°
Space group P-3m1 (No. 164)
Unique sites:
Pr1 0.3333 0.6667 0.3379 (multiplicity 2)
Si1 0.0000 0.0000 0.5000 (multiplicity 1)
Pt1 0.1702 0.3404 0.8025 (multiplicity 6)

electronic total energy = -6.678 eV per atom

---

Record 2
A plane-wave DFT calculation with PBE was carried out for PrSi4Pt3 after structural relaxation.

a = 5.444 Å, b = 3.872 Å, c = 6.766 Å
α = 90.00°, β = 96.03°, γ = 90.00°
Space group Pm (No. 6)
Unique sites:
Pr1 0.000 0.000 0.000 (multiplicity 1)
Si1 0.174 0.500 0.694 (multiplicity 1)
Si2 0.488 0.000 0.272 (multiplicity 1)
Si3 0.513 0.000 0.754 (multiplicity 1)
Si4 0.804 0.500 0.309 (multiplicity 1)
Pt1 0.250 0.500 0.354 (multiplicity 1)
Pt2 0.510 0.500 0.999 (multiplicity 1)
Pt3 0.848 0.000 0.530 (multiplicity 1)

electronic total energy = -6.183 eV per atom

---

Record 3
A plane-wave DFT calculation with PBE was carried out for Pr3SiPt4 after structural relaxation.

a = 5.913 Å, b = 4.150 Å, c = 7.323 Å
α = 90.00°, β = 92.19°, γ = 90.00°
Space group Pm (No. 6)
Unique sites:
Pr1 0.000 0.000 0.000 (multiplicity 1)
Pr2 0.250 0.000 0.504 (multiplicity 1)
Pr3 0.737 0.500 0.368 (multiplicity 1)
Si1 0.476 0.500 0.838 (multiplicity 1)
Pt1 0.061 0.500 0.729 (multiplicity 1)
Pt2 0.237 0.500 0.213 (multiplicity 1)
Pt3 0.511 0.000 0.037 (multiplicity 1)
Pt4 0.698 0.000 0.670 (multiplicity 1)

electronic total energy = -6.388 eV per atom

---

Record 4
A plane-wave DFT calculation with PBE was carried out for PrSiPt after structural relaxation.

a = 6.490 Å, b = 6.490 Å, c = 6.490 Å
α = 90.00°, β = 90.00°, γ = 90.00°
Space group F-43m (No. 216)
Unique sites:
Pr1 0.000 0.000 0.000 (multiplicity 4)
Si1 0.250 0.250 0.250 (multiplicity 4)
Pt1 0.000 0.000 0.500 (multiplicity 4)

electronic total energy = -5.928 eV per atom

---

Record 5
A plane-wave DFT calculation with PBE was carried out for Pr2SiPt after structural relaxation.

a = 4.282 Å, b = 5.870 Å, c = 7.933 Å
α = 90.00°, β = 90.00°, γ = 90.00°
Space group Pmc2_1 (No. 26)
Unique sites:
Pr1 0.000 0.124 0.000 (multiplicity 2)
Pr2 0.500 0.371 0.643 (multiplicity 2)
Si1 0.000 0.372 0.356 (multiplicity 2)
Pt1 0.500 0.125 0.283 (multiplicity 2)

electronic total energy = -6.158 eV per atom

---

Record 6
A plane-wave DFT calculation with PBE was carried out for PrSmPt2 after structural relaxation.

a = 4.577 Å, b = 3.886 Å, c = 10.832 Å
α = 90.00°, β = 90.00°, γ = 90.00°
Space group Amm2 (No. 38)
Unique sites:
Pr1 0.000 0.000 0.000 (multiplicity 2)
Sm1 0.500 0.000 0.275 (multiplicity 2)
Pt1 0.000 0.000 0.727 (multiplicity 2)
Pt2 0.500 0.000 0.552 (multiplicity 2)

energy relative to the elements = -1.150 eV/atom

---

Record 7
A plane-wave DFT calculation with PBE was carried out for PrSmPt after structural relaxation.

a = 7.322 Å, b = 4.908 Å, c = 9.124 Å
α = 90.00°, β = 90.00°, γ = 90.00°
Space group Pnma (No. 62)
Unique sites:
Pr1 0.147 0.250 0.088 (multiplicity 4)
Sm1 0.006 0.250 0.665 (multiplicity 4)
Pt1 0.236 0.250 0.410 (multiplicity 4)

energy relative to the elements = -0.806 eV/atom
excess energy over the best structure of this formula in the dataset = 23 meV per atom

---

Record 8
A plane-wave DFT calculation with PBE was carried out for PrSmPt after structural relaxation.

a = 6.867 Å, b = 6.867 Å, c = 6.867 Å
α = 90.00°, β = 90.00°, γ = 90.00°
Space group F-43m (No. 216)
Unique sites:
Pr1 0.000 0.000 0.000 (multiplicity 4)
Sm1 0.250 0.250 0.250 (multiplicity 4)
Pt1 0.000 0.000 0.500 (multiplicity 4)

energy relative to the elements = -0.129 eV/atom
excess energy over the best structure of this formula in the dataset = 700 meV per atom

---

Please write out number 7 again, unchanged.
A plane-wave DFT calculation with PBE was carried out for PrSmPt after structural relaxation.

a = 7.322 Å, b = 4.908 Å, c = 9.124 Å
α = 90.00°, β = 90.00°, γ = 90.00°
Space group Pnma (No. 62)
Unique sites:
Pr1 0.147 0.250 0.088 (multiplicity 4)
Sm1 0.006 0.250 0.665 (multiplicity 4)
Pt1 0.236 0.250 0.410 (multiplicity 4)

energy relative to the elements = -0.806 eV/atom
excess energy over the best structure of this formula in the dataset = 23 meV per atom